1.
PmTePb2O6: optimized geometry, GGA-PBE.

Values from the calculation:
Formation energy (no corrections)   -1.60 eV/atom
Energy   -6.106 eV per atom
Total magnetization   0.005 μB per formula unit
Fermi-level density of states   4.12 states/eV/f.u.

Cell lengths 6.0982, 6.0982, 15.0603 Å; angles 90.00, 90.00, 120.00 degrees
Space group R3 (No. 146, hexagonal axes)
Inequivalent atoms, fractional coordinates:
Pm 0.0000 0.0000 0.0000 [3 per cell]
Te 0.0000 0.0000 0.4925 [3 per cell]
Pb 0.0000 0.0000 0.2696 [3 per cell]
Pb 0.0000 0.0000 0.7738 [3 per cell]
O 0.0942 0.3386 0.5619 [9 per cell]
O 0.1164 0.7418 0.0729 [9 per cell]



2.
PmTePbO6: optimized geometry, GGA-PBE.

Values from the calculation:
Formation energy (no corrections)   -1.60 eV/atom
Energy   -6.198 eV per atom
Total magnetization   0.000 μB per formula unit
Fermi-level density of states   3.68 states/eV/f.u.

Cell lengths 5.8068, 5.8068, 9.4134 Å; angles 90.00, 90.00, 120.00 degrees
Space group P-31c (No. 163)
Inequivalent atoms, fractional coordinates:
Pm 0.3333 0.6667 0.2500 [2 per cell]
Te 0.3333 0.6667 0.7500 [2 per cell]
Pb 0.0000 0.0000 0.0000 [2 per cell]
O 0.0501 0.3861 0.6348 [12 per cell]



Question: Number 1 is which compound?
Answer: PmTePb2O6



Question: Which value of energy does entry 2 give?
Answer: -6.198 eV per atom